Density functional theory data (PBEsol) for crystalline CoIrAuO2 at its relaxed geometry.

Computed properties:
Crystal system ... tetragonal
V ... 15.18 Å³ per atom
Energy relative to the elements, uncorrected ... 0.315 eV per atom
M_tot ... 2.4 Bohr magnetons per cell
Space group ... No. 123
DFT total energy ... -6.081 eV per atom

```
CoIrAuO2
1.0
3.688 0.000 0.000
0.000 3.688 0.000
0.000 0.000 5.581
Co Ir Au O
1 1 1 2
Direct
0.000 0.000 0.000 Co
0.500 0.500 0.500 Ir
0.500 0.500 0.000 Au
0.000 0.500 0.500 O
0.500 0.000 0.500 O
```